Entry 1:
KFe2Mo after structural relaxation, computed with PBE.

abc: 4.2489 4.2489 7.6183
angles: 87.05 87.05 37.03
Last column: magnetic moment on the atom in μB.
Fractional positions:
K1 0.4974 0.4974 0.5150  0.01
Fe1 0.7285 0.7285 0.8543  2.73
Fe2 0.0054 0.0054 0.9900  2.14
Mo1 0.2686 0.2686 0.1408  -0.05

Results
Magnetization: 1.2503 μB/atom
Space-group type: Cm (8)
Formation energy: 0.908 eV per atom
ΔE to the lowest computed polymorph: 0.78 eV/f.u.

---

Entry 2:
KFe2Mo after structural relaxation, computed with PBE.

abc: 2.7181 2.7181 9.8715
angles: 90.00 90.00 70.92
Last column: magnetic moment on the atom in μB.
Fractional positions:
K1 0.5000 0.5000 0.2500  -0.05
Fe1 0.0000 0.0000 0.5468  2.43
Fe2 0.0000 0.0000 0.9532  2.43
Mo1 0.5000 0.5000 0.7500  -0.26

Results
Magnetization: 1.0961 μB/atom
Space-group type: Cmmm (65)
Formation energy: 0.807 eV per atom
ΔE to the lowest computed polymorph: 0.37 eV/f.u.

---

Entry 3:
KFeMo2 after structural relaxation, computed with PBE.

abc: 2.6083 5.1739 5.4377
angles: 90.00 90.00 90.00
Last column: magnetic moment on the atom in μB.
Fractional positions:
Fe1 0.5000 0.0000 0.5000  2.82
Mo1 0.0000 0.0000 0.0000  -0.15
Mo2 0.5000 0.5000 0.0000  0.39
K1 0.0000 0.5000 0.5000  0.01

Results
Magnetization: 0.7903 μB/atom
Space-group type: Pmmm (47)
Formation energy: 1.450 eV per atom
ΔE to the lowest computed polymorph: 2.74 eV/f.u.

---

Entry 4:
KFe2Mo after structural relaxation, computed with PBE.

abc: 5.1249 5.1249 2.6109
angles: 90.00 90.00 90.00
Last column: magnetic moment on the atom in μB.
Fractional positions:
K1 0.5000 0.0000 0.5000  -0.03
Fe1 0.5000 0.5000 0.0000  2.66
Fe2 0.0000 0.0000 0.0000  2.66
Mo1 0.0000 0.5000 0.5000  -0.39

Results
Magnetization: 1.2212 μB/atom
Space-group type: P4/mmm (123)
Formation energy: 1.241 eV per atom
ΔE to the lowest computed polymorph: 2.11 eV/f.u.

---

Entry 5:
KFeMo2 after structural relaxation, computed with PBE.

abc: 6.1590 6.1590 6.1590
angles: 155.54 126.45 59.71
Last column: magnetic moment on the atom in μB.
Fractional positions:
Mo1 0.9660 0.9660 0.0000  -0.31
Mo2 0.7418 0.2418 0.5000  0.51
K1 0.2597 0.7597 0.5000  0.04
Fe1 0.5325 0.5325 0.0000  2.56

Results
Magnetization: 0.7316 μB/atom
Space-group type: Imm2 (44)
Formation energy: 1.356 eV per atom
ΔE to the lowest computed polymorph: 2.36 eV/f.u.

---

Entry 6:
KFeMo2 after structural relaxation, computed with PBE.

abc: 2.7704 2.7704 10.1808
angles: 90.00 90.00 109.77
Last column: magnetic moment on the atom in μB.
Fractional positions:
Mo1 0.0000 0.0000 0.0485  -0.06
Mo2 0.5000 0.5000 0.2598  -0.14
Fe1 0.0000 0.0000 0.4525  2.46
K1 0.5000 0.5000 0.7392  -0.03

Results
Magnetization: 0.5281 μB/atom
Space-group type: Cmm2 (35)
Formation energy: 0.765 eV per atom
ΔE to the lowest computed polymorph: 0.00 eV/f.u.

---

Entry 7:
KFe2Mo after structural relaxation, computed with PBE.

abc: 7.0158 7.0158 5.8310
angles: 53.02 53.02 90.00
Fractional positions:
Fe1 0.3750 0.3084 0.7500
Fe2 0.6916 0.1250 0.2500
Fe3 0.0584 0.6250 0.2500
Fe4 0.8750 0.9416 0.7500
Mo1 0.7500 0.2500 0.5000
Mo2 0.0000 0.0000 0.0000
K1 0.5000 0.5000 0.0000
K2 0.2500 0.7500 0.5000

Results
Magnetization: 0.0000 μB/atom
Space-group type: I-42d (122)
Formation energy: 1.553 eV per atom
ΔE to the lowest computed polymorph: 3.36 eV/f.u.

---

Entry 8:
KFe2Mo after structural relaxation, computed with PBE.

abc: 3.5844 2.7259 8.9661
angles: 63.99 90.00 90.00
Last column: magnetic moment on the atom in μB.
Fractional positions:
K1 0.0000 0.7428 0.4817  -0.01
Mo1 0.5000 0.6352 0.8564  -0.27
Fe1 0.0000 0.9076 0.0139  1.89
Fe2 0.5000 0.2145 0.1480  2.47

Results
Magnetization: 1.0200 μB/atom
Space-group type: Pm (6)
Formation energy: 0.792 eV per atom
ΔE to the lowest computed polymorph: 0.31 eV/f.u.

---

Entry 9:
KFeMo2 after structural relaxation, computed with PBE.

abc: 4.7661 4.7661 7.0981
angles: 81.25 81.25 37.04
Last column: magnetic moment on the atom in μB.
Fractional positions:
Fe1 0.5292 0.5292 0.3675  1.84
Mo1 0.2488 0.2488 0.2595  -0.33
Mo2 0.9646 0.9646 0.1328  0.08
K1 0.7574 0.7574 0.7402  0.00

Results
Magnetization: 0.4189 μB/atom
Space-group type: Cm (8)
Formation energy: 1.001 eV per atom
ΔE to the lowest computed polymorph: 0.94 eV/f.u.

---

Entry 10:
KFeMo2 after structural relaxation, computed with PBE.

abc: 5.8748 5.8748 2.5943
angles: 84.13 84.13 124.92
Last column: magnetic moment on the atom in μB.
Fractional positions:
Fe1 0.5000 0.0000 0.5000  2.78
Mo1 0.0000 0.0000 0.0000  -0.05
Mo2 0.5000 0.5000 0.0000  -0.05
K1 0.0000 0.5000 0.5000  0.00

Results
Magnetization: 0.6590 μB/atom
Space-group type: C2/m (12)
Formation energy: 1.345 eV per atom
ΔE to the lowest computed polymorph: 2.32 eV/f.u.

---

Entry 11:
KFeMo2 after structural relaxation, computed with PBE.

abc: 5.1304 5.1304 2.6253
angles: 90.00 90.00 90.00
Last column: magnetic moment on the atom in μB.
Fractional positions:
Mo1 0.5000 0.5000 0.0000  -0.22
Mo2 0.0000 0.0000 0.0000  -0.22
Fe1 0.5000 0.0000 0.5000  2.54
K1 0.0000 0.5000 0.5000  -0.02

Results
Magnetization: 0.4947 μB/atom
Space-group type: P4/mmm (123)
Formation energy: 1.749 eV per atom
ΔE to the lowest computed polymorph: 3.93 eV/f.u.

---

Entry 12:
KFeMo2 after structural relaxation, computed with PBE.

abc: 4.2291 2.6971 7.6873
angles: 86.21 90.00 90.00
Last column: magnetic moment on the atom in μB.
Fractional positions:
Mo1 0.0000 0.9439 0.1016  0.18
Mo2 0.5000 0.2258 0.2631  -0.15
K1 0.5000 0.7431 0.7389  0.00
Fe1 0.0000 0.5872 0.3964  2.39

Results
Magnetization: 0.6343 μB/atom
Space-group type: Pm (6)
Formation energy: 0.832 eV per atom
ΔE to the lowest computed polymorph: 0.27 eV/f.u.

---

Entry 13:
KFeMo2 after structural relaxation, computed with PBE.

abc: 2.6891 3.6355 8.4636
angles: 90.00 90.00 90.00
Fractional positions:
Mo1 0.0000 0.0000 0.3958
Mo2 0.0000 0.0000 0.1042
Fe1 0.5000 0.5000 0.2500
K1 0.5000 0.5000 0.7500

Results
Magnetization: 0.0000 μB/atom
Space-group type: Pmmm (47)
Formation energy: 0.830 eV per atom
ΔE to the lowest computed polymorph: 0.26 eV/f.u.

---

Entry 14:
KFeMo after structural relaxation, computed with PBE.

abc: 3.2916 3.2916 7.4848
angles: 90.00 90.00 120.00
Fractional positions:
Mo1 0.3333 0.6667 0.7607
Fe1 0.0000 0.0000 0.9253
K1 0.6667 0.3333 0.3140

Results
Magnetization: 0.0000 μB/atom
Space-group type: P3m1 (156)
Formation energy: 1.023 eV per atom
ΔE to the lowest computed polymorph: 0.09 eV/f.u.

---

Entry 15:
KFe2Mo after structural relaxation, computed with PBE.

abc: 2.6824 2.6824 9.9630
angles: 90.00 90.00 107.70
Last column: magnetic moment on the atom in μB.
Fractional positions:
Fe1 0.0000 0.0000 0.0115  2.29
Fe2 0.5000 0.5000 0.1925  2.67
K1 0.0000 0.0000 0.4887  -0.03
Mo1 0.5000 0.5000 0.8073  -0.19

Results
Magnetization: 1.1620 μB/atom
Space-group type: Cmm2 (35)
Formation energy: 0.795 eV per atom
ΔE to the lowest computed polymorph: 0.33 eV/f.u.

---

Entry 16:
KFe2Mo after structural relaxation, computed with PBE.

abc: 5.9119 5.9119 5.9119
angles: 152.87 122.50 64.71
Last column: magnetic moment on the atom in μB.
Fractional positions:
Mo1 0.2500 0.7500 0.5000  0.15
Fe1 0.0440 0.0440 0.0000  2.55
Fe2 0.4560 0.4560 0.0000  2.55
K1 0.7500 0.2500 0.5000  0.02

Results
Magnetization: 1.3459 μB/atom
Space-group type: Immm (71)
Formation energy: 1.387 eV per atom
ΔE to the lowest computed polymorph: 2.70 eV/f.u.

---

Entry 17:
KFeMo2 after structural relaxation, computed with PBE.

abc: 5.8324 5.8324 2.5895
angles: 90.00 90.00 125.01
Last column: magnetic moment on the atom in μB.
Fractional positions:
Fe1 0.5000 0.0000 0.5000  2.82
Mo1 0.0000 0.0000 0.0000  -0.04
Mo2 0.5000 0.5000 0.0000  -0.04
K1 0.0000 0.5000 0.5000  -0.01

Results
Magnetization: 0.6691 μB/atom
Space-group type: Cmmm (65)
Formation energy: 1.391 eV per atom
ΔE to the lowest computed polymorph: 2.50 eV/f.u.

---

Entry 18:
KFeMo after structural relaxation, computed with PBE.

abc: 4.5339 4.5339 4.5339
angles: 60.00 60.00 60.00
Last column: magnetic moment on the atom in μB.
Fractional positions:
Mo1 0.5000 0.5000 0.5000  2.12
K1 0.0000 0.0000 0.0000  0.02
Fe1 0.2500 0.2500 0.2500  -2.10

Results
Magnetization: 0.1413 μB/atom
Space-group type: F-43m (216)
Formation energy: 1.942 eV per atom
ΔE to the lowest computed polymorph: 2.85 eV/f.u.

---

Entry 19:
KFeMo2 after structural relaxation, computed with PBE.

abc: 5.0091 5.0091 8.8304
angles: 73.52 73.52 90.00
Last column: magnetic moment on the atom in μB.
Fractional positions:
Mo1 0.3750 0.1250 0.7500  -0.24
Mo2 0.8750 0.1250 0.7500  -0.26
Mo3 0.8750 0.6250 0.2500  -0.22
Mo4 0.8750 0.1250 0.2500  -0.21
K1 0.5000 0.5000 0.0000  0.00
K2 0.2500 0.7500 0.5000  0.00
Fe1 0.7500 0.2500 0.5000  1.04
Fe2 0.0000 0.0000 0.0000  1.04

Results
Magnetization: 0.1273 μB/atom
Space-group type: I4_1/amd (141)
Formation energy: 1.724 eV per atom
ΔE to the lowest computed polymorph: 3.83 eV/f.u.

---

Entry 20:
KFe2Mo after structural relaxation, computed with PBE.

abc: 4.5403 4.5403 7.0975
angles: 87.77 87.77 35.38
Last column: magnetic moment on the atom in μB.
Fractional positions:
Mo1 0.7500 0.7500 0.7500  -0.45
Fe1 0.0097 0.0097 0.8812  2.30
Fe2 0.4903 0.4903 0.6188  2.30
K1 0.2500 0.2500 0.2500  0.00

Results
Magnetization: 1.0723 μB/atom
Space-group type: C2/m (12)
Formation energy: 0.830 eV per atom
ΔE to the lowest computed polymorph: 0.47 eV/f.u.

---

Entry 21:
KFe2Mo after structural relaxation, computed with PBE.

abc: 3.2119 3.2118 7.7972
angles: 90.00 90.00 90.00
Last column: magnetic moment on the atom in μB.
Fractional positions:
Mo1 0.5000 0.5000 0.7500  -0.67
K1 0.5000 0.5000 0.2500  0.01
Fe1 0.0000 0.0000 0.8974  2.07
Fe2 0.0000 0.0000 0.6026  2.07

Results
Magnetization: 0.8973 μB/atom
Space-group type: P4/mmm (123)
Formation energy: 0.713 eV per atom
ΔE to the lowest computed polymorph: 0.00 eV/f.u.

---

Entry 22:
KFe2Mo after structural relaxation, computed with PBE.

abc: 2.6086 5.3040 4.9657
angles: 90.00 90.00 90.00
Last column: magnetic moment on the atom in μB.
Fractional positions:
Fe1 0.0000 0.0000 0.0000  2.70
Fe2 0.5000 0.5000 0.0000  2.51
Mo1 0.0000 0.5000 0.5000  -0.68
K1 0.5000 0.0000 0.5000  -0.06

Results
Magnetization: 1.0561 μB/atom
Space-group type: Pmmm (47)
Formation energy: 1.574 eV per atom
ΔE to the lowest computed polymorph: 3.44 eV/f.u.

---

Entry 23:
KFeMo after structural relaxation, computed with PBE.

abc: 4.9343 4.9343 4.9343
angles: 60.00 60.00 60.00
Last column: magnetic moment on the atom in μB.
Fractional positions:
Fe1 0.5000 0.5000 0.5000  3.02
Mo1 0.0000 0.0000 0.0000  3.35
K1 0.2500 0.2500 0.2500  0.07

Results
Magnetization: 2.4556 μB/atom
Space-group type: F-43m (216)
Formation energy: 2.770 eV per atom
ΔE to the lowest computed polymorph: 5.33 eV/f.u.

---

Entry 24:
KFe2Mo after structural relaxation, computed with PBE.

abc: 4.1096 2.6844 7.4265
angles: 81.14 90.00 90.00
Last column: magnetic moment on the atom in μB.
Fractional positions:
K1 0.5000 0.2500 0.2500  0.00
Fe1 0.0000 0.0533 0.8958  2.37
Fe2 0.0000 0.4467 0.6042  2.37
Mo1 0.5000 0.7500 0.7500  -0.40

Results
Magnetization: 1.1186 μB/atom
Space-group type: P2/m (10)
Formation energy: 0.751 eV per atom
ΔE to the lowest computed polymorph: 0.15 eV/f.u.

---

Entry 25:
KFe2Mo after structural relaxation, computed with PBE.

abc: 4.5028 4.5028 4.5028
angles: 120.07 120.07 89.88
Last column: magnetic moment on the atom in μB.
Fractional positions:
Mo1 0.7500 0.2500 0.5000  -0.82
Fe1 0.2500 0.7500 0.5000  2.83
Fe2 0.0000 0.0000 0.0000  2.16
K1 0.5000 0.5000 0.0000  -0.02

Results
Magnetization: 1.0098 μB/atom
Space-group type: F-43m (216)
Formation energy: 1.517 eV per atom
ΔE to the lowest computed polymorph: 3.22 eV/f.u.

---

Entry 26:
KFe4Mo after structural relaxation, computed with PBE.

abc: 4.9919 4.9919 4.9919
angles: 60.00 60.00 60.00
Last column: magnetic moment on the atom in μB.
Fractional positions:
Fe1 0.8763 0.3746 0.3746  2.10
Fe2 0.3746 0.3746 0.3746  2.10
Fe3 0.3746 0.3746 0.8763  2.10
Fe4 0.3746 0.8763 0.3746  2.10
K1 0.7500 0.7500 0.7500  -0.06
Mo1 0.0000 0.0000 0.0000  -1.57

Results
Magnetization: 1.0806 μB/atom
Space-group type: F-43m (216)
Formation energy: 0.881 eV per atom

---

Entry 27:
KFe2Mo after structural relaxation, computed with PBE.

abc: 9.7574 9.7574 9.7574
angles: 17.23 17.23 17.23
Last column: magnetic moment on the atom in μB.
Fractional positions:
Mo1 0.7500 0.7500 0.7500  -0.34
Fe1 0.0173 0.0173 0.0173  2.32
Fe2 0.4827 0.4827 0.4827  2.32
K1 0.2500 0.2500 0.2500  -0.03

Results
Magnetization: 1.0298 μB/atom
Space-group type: R-3m (166)
Formation energy: 0.899 eV per atom
ΔE to the lowest computed polymorph: 0.74 eV/f.u.

---

Entry 28:
KFeMo2 after structural relaxation, computed with PBE.

abc: 6.2768 6.2768 6.2768
angles: 156.30 130.90 55.22
Last column: magnetic moment on the atom in μB.
Fractional positions:
Mo1 0.9578 0.9578 0.0000  -0.09
Mo2 0.5422 0.5422 0.0000  -0.09
Fe1 0.7500 0.2500 0.5000  2.40
K1 0.2500 0.7500 0.5000  -0.01

Results
Magnetization: 0.5651 μB/atom
Space-group type: Immm (71)
Formation energy: 1.068 eV per atom
ΔE to the lowest computed polymorph: 1.21 eV/f.u.

---

Entry 29:
KFeMo2 after structural relaxation, computed with PBE.

abc: 4.6434 4.6434 4.6434
angles: 60.00 60.00 60.00
Last column: magnetic moment on the atom in μB.
Fractional positions:
Fe1 0.5000 0.5000 0.5000  2.80
K1 0.7500 0.7500 0.7500  0.01
Mo1 0.0000 0.0000 0.0000  0.65
Mo2 0.2500 0.2500 0.2500  -0.58

Results
Magnetization: 0.7250 μB/atom
Space-group type: F-43m (216)
Formation energy: 1.509 eV per atom
ΔE to the lowest computed polymorph: 2.97 eV/f.u.

---

Entry 30:
K4FeMo after structural relaxation, computed with PBE.

abc: 7.2032 7.2032 7.2032
angles: 60.00 60.00 60.00
Last column: magnetic moment on the atom in μB.
Fractional positions:
K1 0.3752 0.3752 0.3752  0.00
K2 0.3752 0.3752 0.8744  0.00
K3 0.3752 0.8744 0.3752  0.00
K4 0.8744 0.3752 0.3752  0.00
Fe1 0.0000 0.0000 0.0000  3.20
Mo1 0.7500 0.7500 0.7500  3.79

Results
Magnetization: 1.3633 μB/atom
Space-group type: F-43m (216)
Formation energy: 1.515 eV per atom